Here is a geometry-optimized Sr4ZnFe3O12 structure from the Alexandria database. Energies are from PBE with a Hubbard U.

Magnetization in Bohr magnetons per cell: 12.0

Lattice parameters (Å, degrees): 6.802 6.802 6.802 109.47 109.47 109.47
Fractional coordinates of all 20 atoms:
1 Sr 0.500 0.500 0.500
2 Sr 0.000 0.000 0.500
3 Sr 0.500 0.000 0.000
4 Sr 0.000 0.500 0.000
5 Zn 0.000 0.000 0.000
6 Fe 0.500 0.000 0.500
7 Fe 0.500 0.500 0.000
8 Fe 0.000 0.500 0.500
9 O 0.250 0.500 0.750
10 O 0.739 0.000 0.739
11 O 0.261 0.000 0.261
12 O 0.750 0.500 0.250
13 O 0.739 0.739 0.000
14 O 0.261 0.261 0.000
15 O 0.750 0.250 0.500
16 O 0.250 0.750 0.500
17 O 0.500 0.250 0.750
18 O 0.000 0.739 0.739
19 O 0.500 0.750 0.250
20 O 0.000 0.261 0.261

Here is a geometry-optimized Sr3ZrFe2O9 structure from the Alexandria database. Energies are from PBE with a Hubbard U.

Magnetization in Bohr magnetons per cell: 8.4

Lattice parameters (Å, degrees): 5.658 5.658 6.949 90.00 90.00 120.00
Fractional coordinates of all 15 atoms:
1 Sr 0.333 0.667 0.681
2 Sr 0.000 0.000 0.000
3 Sr 0.667 0.333 0.319
4 Zr 0.000 0.000 0.500
5 Fe 0.333 0.667 0.162
6 Fe 0.667 0.333 0.838
7 O 0.828 0.172 0.676
8 O 0.828 0.657 0.676
9 O 0.343 0.172 0.676
10 O 0.657 0.828 0.324
11 O 0.172 0.343 0.324
12 O 0.172 0.828 0.324
13 O 0.500 0.000 0.000
14 O 0.000 0.500 0.000
15 O 0.500 0.500 0.000

Here is a geometry-optimized Ta2Fe2O structure from the Alexandria database. Energies are from PBE with a Hubbard U.

Energy above the lowest structure with this stoichiometry in meV/atom: 0.0
Magnetization in Bohr magnetons per cell: 12.0

Lattice parameters (Å, degrees): 5.578 5.578 4.936 90.00 90.00 90.00
Fractional coordinates of all 10 atoms:
1 Fe 0.340 0.840 0.000
2 Fe 0.840 0.660 0.000
3 Fe 0.660 0.160 0.000
4 Fe 0.160 0.340 0.000
5 O 0.000 0.000 0.000
6 O 0.500 0.500 0.000
7 Ta 0.165 0.665 0.500
8 Ta 0.665 0.835 0.500
9 Ta 0.835 0.335 0.500
10 Ta 0.335 0.165 0.500

Here is a geometry-optimized TaFeO4 structure from the Alexandria database. Energies are from PBE with a Hubbard U.

Magnetization in Bohr magnetons per cell: 20.0

Lattice parameters (Å, degrees): 4.726 5.693 10.175 90.00 90.00 89.99
Fractional coordinates of all 24 atoms:
1 Ta 0.500 0.168 0.750
2 Ta 0.000 0.332 0.250
3 Ta 0.000 0.668 0.750
4 Ta 0.500 0.832 0.250
5 Fe 0.000 0.000 0.500
6 Fe 0.500 0.500 0.500
7 Fe 0.500 0.500 0.000
8 Fe 0.000 0.000 0.000
9 O 0.289 0.229 0.914
10 O 0.711 0.771 0.086
11 O 0.711 0.229 0.586
12 O 0.789 0.729 0.586
13 O 0.773 0.037 0.330
14 O 0.727 0.537 0.330
15 O 0.273 0.537 0.170
16 O 0.773 0.963 0.830
17 O 0.727 0.463 0.830
18 O 0.211 0.729 0.914
19 O 0.227 0.963 0.670
20 O 0.289 0.771 0.414
21 O 0.273 0.463 0.670
22 O 0.211 0.271 0.414
23 O 0.789 0.271 0.086
24 O 0.227 0.037 0.170

Here is a geometry-optimized TaFeO4 structure from the Alexandria database. Energies are from PBE with a Hubbard U.

Magnetization in Bohr magnetons per cell: 19.9

Lattice parameters (Å, degrees): 4.560 11.847 4.947 90.00 90.00 90.00
Fractional coordinates of all 24 atoms:
1 Ta 0.000 0.172 0.250
2 Ta 0.000 0.828 0.750
3 Ta 0.500 0.672 0.250
4 Ta 0.500 0.328 0.750
5 Fe 0.500 0.067 0.750
6 Fe 0.500 0.933 0.250
7 Fe 0.000 0.433 0.250
8 Fe 0.000 0.567 0.750
9 O 0.230 0.307 0.072
10 O 0.230 0.693 0.572
11 O 0.270 0.193 0.572
12 O 0.270 0.807 0.072
13 O 0.730 0.193 0.928
14 O 0.730 0.807 0.428
15 O 0.770 0.307 0.428
16 O 0.770 0.693 0.928
17 O 0.245 0.438 0.586
18 O 0.245 0.562 0.086
19 O 0.255 0.062 0.086
20 O 0.255 0.938 0.586
21 O 0.745 0.062 0.414
22 O 0.745 0.938 0.914
23 O 0.755 0.562 0.414
24 O 0.755 0.438 0.914

Here is a geometry-optimized TaFeO4 structure from the Alexandria database. Energies are from PBE with a Hubbard U.

Magnetization in Bohr magnetons per cell: 10.0

Lattice parameters (Å, degrees): 6.639 6.639 6.723 73.34 73.34 34.06
Fractional coordinates of all 12 atoms:
1 Ta 0.896 0.896 0.224
2 Ta 0.104 0.104 0.776
3 Fe 0.803 0.803 0.808
4 Fe 0.197 0.197 0.192
5 O 0.946 0.946 0.868
6 O 0.863 0.863 0.509
7 O 0.634 0.634 0.798
8 O 0.745 0.745 0.147
9 O 0.255 0.255 0.853
10 O 0.366 0.366 0.202
11 O 0.137 0.137 0.491
12 O 0.054 0.054 0.132

Here is a geometry-optimized TaFeO4 structure from the Alexandria database. Energies are from PBE with a Hubbard U.

Magnetization in Bohr magnetons per cell: 20.0

Lattice parameters (Å, degrees): 5.099 5.670 9.382 90.00 90.00 90.00
Fractional coordinates of all 24 atoms:
1 Ta 0.736 0.589 0.627
2 Ta 0.736 0.089 0.873
3 Ta 0.236 0.911 0.127
4 Ta 0.236 0.411 0.373
5 Fe 0.251 0.419 0.878
6 Fe 0.751 0.581 0.122
7 Fe 0.751 0.081 0.378
8 Fe 0.251 0.919 0.622
9 O 0.915 0.873 0.740
10 O 0.425 0.634 0.739
11 O 0.915 0.373 0.760
12 O 0.425 0.134 0.761
13 O 0.590 0.361 0.986
14 O 0.081 0.131 0.990
15 O 0.581 0.869 0.010
16 O 0.090 0.639 0.014
17 O 0.415 0.627 0.240
18 O 0.925 0.866 0.239
19 O 0.925 0.366 0.261
20 O 0.415 0.127 0.260
21 O 0.090 0.139 0.486
22 O 0.581 0.369 0.490
23 O 0.081 0.631 0.510
24 O 0.590 0.861 0.514

Here is a geometry-optimized TaFeO4 structure from the Alexandria database. Energies are from PBE with a Hubbard U.

Magnetization in Bohr magnetons per cell: 15.1

Lattice parameters (Å, degrees): 4.733 4.733 9.240 90.00 90.00 90.57
Fractional coordinates of all 18 atoms:
1 Ta 0.000 0.000 0.338
2 Ta 0.500 0.500 0.157
3 Ta 0.000 0.000 0.679
4 Fe 0.500 0.500 0.503
5 Fe 0.000 0.000 0.001
6 Fe 0.500 0.500 0.826
7 O 0.803 0.197 0.830
8 O 0.197 0.803 0.830
9 O 0.302 0.302 0.329
10 O 0.698 0.698 0.329
11 O 0.199 0.801 0.173
12 O 0.801 0.199 0.173
13 O 0.701 0.701 0.663
14 O 0.299 0.299 0.663
15 O 0.807 0.193 0.498
16 O 0.193 0.807 0.498
17 O 0.302 0.302 0.005
18 O 0.698 0.698 0.005

Here is a geometry-optimized TaFeO2 structure from the Alexandria database. Energies are from PBE with a Hubbard U.

Energy above the lowest structure with this stoichiometry in meV/atom: 593.6
Magnetization in Bohr magnetons per cell: 3.9

Lattice parameters (Å, degrees): 3.860 3.860 3.860 60.00 60.00 60.00
Fractional coordinates of all 4 atoms:
1 Fe 0.000 0.000 0.000
2 O 0.250 0.250 0.250
3 O 0.750 0.750 0.750
4 Ta 0.500 0.500 0.500

Here is a geometry-optimized TaFeO4 structure from the Alexandria database. Energies are from PBE with a Hubbard U.

Magnetization in Bohr magnetons per cell: 6.0

Lattice parameters (Å, degrees): 10.165 10.165 10.165 142.23 142.23 54.49
Fractional coordinates of all 36 atoms:
1 Ta 0.091 0.591 0.500
2 Ta 0.168 0.168 0.000
3 Ta 0.826 0.826 0.000
4 Ta 0.341 0.341 0.000
5 Ta 0.576 0.076 0.500
6 Ta 0.918 0.418 0.500
7 Fe 0.997 0.997 0.000
8 Fe 0.254 0.754 0.500
9 Fe 0.416 0.916 0.500
10 Fe 0.504 0.504 0.000
11 Fe 0.667 0.666 0.000
12 Fe 0.747 0.247 0.500
13 O 0.082 0.277 0.195
14 O 0.296 0.000 0.297
15 O 0.141 0.834 0.306
16 O 0.528 0.834 0.693
17 O 0.368 0.668 0.700
18 O 0.027 0.332 0.695
19 O 0.703 0.000 0.704
20 O 0.197 0.500 0.697
21 O 0.250 0.053 0.803
22 O 0.750 0.546 0.797
23 O 0.584 0.391 0.806
24 O 0.418 0.217 0.800
25 O 0.082 0.887 0.805
26 O 0.418 0.618 0.200
27 O 0.584 0.778 0.193
28 O 0.916 0.112 0.196
29 O 0.750 0.953 0.204
30 O 0.250 0.447 0.197
31 O 0.803 0.500 0.303
32 O 0.967 0.668 0.300
33 O 0.470 0.166 0.304
34 O 0.637 0.332 0.305
35 O 0.862 0.166 0.696
36 O 0.916 0.720 0.804

Here is a geometry-optimized TaFeO4 structure from the Alexandria database. Energies are from PBE with a Hubbard U.

Magnetization in Bohr magnetons per cell: 10.0

Lattice parameters (Å, degrees): 6.111 6.111 4.929 68.82 68.82 114.30
Fractional coordinates of all 12 atoms:
1 Ta 0.131 0.869 0.250
2 Ta 0.869 0.131 0.750
3 Fe 0.596 0.404 0.250
4 Fe 0.404 0.596 0.750
5 O 0.812 0.735 0.739
6 O 0.114 0.528 0.649
7 O 0.735 0.812 0.239
8 O 0.528 0.114 0.149
9 O 0.472 0.886 0.851
10 O 0.265 0.188 0.761
11 O 0.886 0.472 0.351
12 O 0.188 0.265 0.261

Here is a geometry-optimized TaFeO2 structure from the Alexandria database. Energies are from PBE with a Hubbard U.

Energy above the lowest structure with this stoichiometry in meV/atom: 277.2
Magnetization in Bohr magnetons per cell: 4.1

Lattice parameters (Å, degrees): 4.542 4.542 6.284 68.82 68.82 90.00
Fractional coordinates of all 8 atoms:
1 Fe 0.500 0.500 0.000
2 Fe 0.250 0.750 0.500
3 O 0.668 0.125 0.250
4 O 0.082 0.625 0.250
5 O 0.375 0.332 0.750
6 O 0.875 0.918 0.750
7 Ta 0.000 0.000 0.000
8 Ta 0.750 0.250 0.500

E for every record listed, in sequence, given in eV for the cell shown: -120.8, -104.5, -74.5, -204.0, -203.8, -102.3, -203.7, -152.9, -30.5, -295.1, -101.1, -63.5.